Record 1
Compound: Mn2ZnNi
Source: the Alexandria database
Functional: GGA-PBE
Structure: relaxed

Properties
Density in g cm⁻³: 7.90
Calculated volume in Å³ per atom: 12.30
E_form in meV per atom: 144
SG: C2/m, No. 12
Final energy in eV per formula unit: -24.817

abc: 4.635 4.908 2.531
angles: 78.81 82.24 115.93
Each line ends with the local moment (μB).
Element x y z (fractional)
Mn 0.000 0.000 0.000  2.41
Mn 0.500 0.000 0.500  2.41
Ni 0.000 0.500 0.500  0.58
Zn 0.500 0.500 0.000  -0.05



Record 2
Compound: MnZn4Ni
Source: the Alexandria database
Functional: GGA-PBE
Structure: relaxed

Properties
Density in g cm⁻³: 7.39
Distance to the lowest polymorph of the same formula in eV/f.u.: 0.504
Calculated volume in Å³ per atom: 14.06
E_form in meV per atom: 67
SG: F-43m, No. 216
Final energy in eV per formula unit: -19.646

abc: 4.922 4.922 4.922
angles: 60.00 60.00 60.00
Each line ends with the local moment (μB).
Element x y z (fractional)
Mn 0.750 0.750 0.750  3.87
Zn 0.876 0.375 0.375  0.00
Zn 0.375 0.375 0.876  0.00
Zn 0.375 0.876 0.375  0.00
Zn 0.375 0.375 0.375  0.00
Ni 0.000 0.000 0.000  0.55



Record 3
Compound: MnZn2Ni
Source: the Alexandria database
Functional: GGA-PBE
Structure: relaxed

Properties
Density in g cm⁻³: 7.61
Calculated volume in Å³ per atom: 13.34
E_form in meV per atom: -47
SG: P4mm, No. 99
Final energy in eV per formula unit: -17.688

abc: 2.853 2.853 6.555
angles: 90.00 90.00 90.00
Each line ends with the local moment (μB).
Element x y z (fractional)
Mn 0.000 0.000 0.521  3.35
Ni 0.500 0.500 0.746  0.48
Zn 0.000 0.000 0.978  -0.02
Zn 0.500 0.500 0.254  -0.05



Record 4
Compound: MnZn4Ni5
Source: the Alexandria database
Functional: GGA-PBE
Structure: relaxed

Properties
Density in g cm⁻³: 8.35
Calculated volume in Å³ per atom: 12.13
E_form in meV per atom: -201
SG: P4/mmm, No. 123
Final energy in eV per formula unit: -45.181

abc: 2.946 2.946 13.977
angles: 90.00 90.00 90.00
Each line ends with the local moment (μB).
Element x y z (fractional)
Mn 0.000 0.000 0.000  3.39
Zn 0.000 0.000 0.200  -0.01
Zn 0.000 0.000 0.400  0.00
Zn 0.000 0.000 0.600  0.00
Zn 0.000 0.000 0.800  -0.01
Ni 0.500 0.500 0.099  0.45
Ni 0.500 0.500 0.300  0.03
Ni 0.500 0.500 0.500  0.03
Ni 0.500 0.500 0.700  0.03
Ni 0.500 0.500 0.901  0.45